No. 1
## LaSb2Ru (PBEsol)

Data for a geometry-optimized LaSb2Ru structure.

Properties
Energy relative to the elements, uncorrected, eV/atom: -0.330

a = 3.3572 Å, b = 3.3572 Å, c = 7.7404 Å
α = 90.00°, β = 90.00°, γ = 90.00°
With the nearest neighbours (Å) after each atom.
Space group P4/mmm (No. 123)
One atom of each set of equivalent atoms:
1 La 0.0000 0.0000 0.0000  8 Sb 3.32, 4 La 3.36
2 Sb 0.5000 0.5000 0.3000  4 Ru 2.83, 1 Sb 3.10
3 Ru 0.0000 0.0000 0.5000  8 Sb 2.83

***

No. 2
## La2SbRu (PBEsol)

Data for a geometry-optimized La2SbRu structure.

Properties
Energy relative to the elements, uncorrected, eV/atom: -0.617

a = 4.2929 Å, b = 4.6112 Å, c = 10.6661 Å
α = 90.00°, β = 90.00°, γ = 90.00°
With the nearest neighbours (Å) after each atom.
Space group Amm2 (No. 38)
One atom of each set of equivalent atoms:
1 La 0.0000 0.0000 0.0000  1 Ru 2.40
2 La 0.5000 0.0000 0.3078  3 Sb 3.16-3.17, 4 Ru 3.17
3 Sb 0.5000 0.0000 0.6040  2 Ru 2.82
4 Ru 0.0000 0.0000 0.7753  1 La 2.40

***

No. 3
## LaSb2Ru (PBEsol)

Data for a geometry-optimized LaSb2Ru structure.

Properties
Energy relative to the elements, uncorrected, eV/atom: -0.356

a = 3.3032 Å, b = 4.1142 Å, c = 14.1801 Å
α = 90.00°, β = 90.00°, γ = 90.00°
With the nearest neighbours (Å) after each atom.
Space group Imm2 (No. 44)
One atom of each set of equivalent atoms:
1 La 0.0000 0.0000 0.0000  6 Sb 3.18, 2 La 3.30
2 Sb 0.0000 0.0000 0.3748  2 Ru 2.63
3 Sb 0.0000 0.5000 0.1712  4 Ru 2.77
4 Ru 0.0000 0.5000 0.7302  6 Sb 2.63-2.77

***

No. 4
## LaSb2Ru (PBEsol)

Data for a geometry-optimized LaSb2Ru structure.

Properties
Energy relative to the elements, uncorrected, eV/atom: -0.135

a = 4.4104 Å, b = 4.4104 Å, c = 9.3728 Å
α = 90.00°, β = 90.00°, γ = 90.00°
With the nearest neighbours (Å) after each atom.
Space group I-4m2 (No. 119)
One atom of each set of equivalent atoms:
1 La 0.0000 0.0000 0.0000  8 Sb 3.12-3.22, 4 Ru 3.22
2 Sb 0.0000 0.0000 0.5000  4 La 3.12, 4 Sb 3.22, 4 Ru 3.22
3 Sb 0.0000 0.5000 0.7500  4 Ru 3.12, 4 La 3.22, 4 Sb 3.22
4 Ru 0.0000 0.5000 0.2500  8 Sb 3.12-3.22, 4 La 3.22

***

No. 5
## La2SbRu (PBEsol)

Data for a geometry-optimized La2SbRu structure.

Properties
Energy relative to the elements, uncorrected, eV/atom: -0.198

a = 3.3803 Å, b = 3.3803 Å, c = 8.9495 Å
α = 90.00°, β = 90.00°, γ = 90.00°
With the nearest neighbours (Å) after each atom.
Space group P4mm (No. 99)
One atom of each set of equivalent atoms:
1 La 0.0000 0.0000 0.0000  4 Sb 3.32, 4 La 3.38, 1 Ru 3.61
2 La 0.5000 0.5000 0.3720  4 Ru 3.12, 1 Sb 3.32, 4 La 3.38
3 Sb 0.5000 0.5000 0.7429  4 Ru 2.73
4 Ru 0.0000 0.0000 0.5961  4 Sb 2.73

***

No. 6
## LaSb2Ru (PBEsol)

Data for a geometry-optimized LaSb2Ru structure.

Properties
Energy relative to the elements, uncorrected, eV/atom: -0.044

a = 3.9127 Å, b = 3.9127 Å, c = 23.0160 Å
α = 90.00°, β = 90.00°, γ = 120.00°
With the nearest neighbours (Å) after each atom.
Space group R3m (No. 160, hexagonal axes)
One atom of each set of equivalent atoms:
1 La 0.0000 0.0000 0.0000  3 Ru 2.78
2 Sb 0.0000 0.0000 0.2277  3 Sb 3.21, 3 La 3.32
3 Sb 0.0000 0.0000 0.4620  3 Ru 2.63
4 Ru 0.0000 0.0000 0.7368  3 Sb 2.63, 3 La 2.78

***

No. 7
## La2SbRu (PBEsol)

Data for a geometry-optimized La2SbRu structure.

Properties
Energy relative to the elements, uncorrected, eV/atom: -0.336

a = 4.1421 Å, b = 4.1421 Å, c = 22.7260 Å
α = 90.00°, β = 90.00°, γ = 120.00°
With the nearest neighbours (Å) after each atom.
Space group R-3m (No. 166, hexagonal axes)
One atom of each set of equivalent atoms:
1 La 0.0000 0.0000 0.2349  3 Ru 2.85
2 Sb 0.0000 0.0000 0.0000  6 La 3.27
3 Ru 0.0000 0.0000 0.5000  6 La 2.85

***

No. 8
## LaSb2Ru (PBEsol)

Data for a geometry-optimized LaSb2Ru structure.

Properties
Energy relative to the elements, uncorrected, eV/atom: -0.560

a = 5.5046 Å, b = 8.1806 Å, c = 4.3430 Å
α = 90.00°, β = 90.00°, γ = 90.00°
With the nearest neighbours (Å) after each atom.
Space group Cmmm (No. 65)
One atom of each set of equivalent atoms:
1 La 0.0000 0.0000 0.0000  2 Ru 2.75
2 Sb 0.0000 0.3133 0.5000  2 Ru 2.65, 2 Sb 2.94
3 Ru 0.0000 0.5000 0.0000  4 Sb 2.65, 2 La 2.75

***

No. 9
## LaSc4Ru (PBEsol)

Data for a geometry-optimized LaSc4Ru structure.

Properties
ΔE_f, eV per atom: 0.495

a = 8.0816 Å, b = 8.0816 Å, c = 8.0816 Å
α = 90.00°, β = 90.00°, γ = 90.00°
With the nearest neighbours (Å) after each atom.
Space group F-43m (No. 216)
One atom of each set of equivalent atoms:
1 La 0.0000 0.0000 0.0000  12 Sc 3.36, 4 Ru 3.50
2 Sc 0.1231 0.1231 0.6231  6 Sc 2.81-2.90
3 Ru 0.2500 0.2500 0.2500  12 Sc 3.35, 4 La 3.50

***

No. 10
## LaSc2Ru2 (PBEsol)

Data for a geometry-optimized LaSc2Ru2 structure.

Properties
Offset from the most stable computed form, meV per atom: 0.0
ΔE_f, eV per atom: -0.297

a = 7.7148 Å, b = 7.7148 Å, c = 3.2372 Å
α = 90.00°, β = 90.00°, γ = 90.00°
With the nearest neighbours (Å) after each atom.
Space group P4/mbm (No. 127)
One atom of each set of equivalent atoms:
1 La 0.0000 0.0000 0.0000  4 Ru 2.92, 2 La 3.24
2 Sc 0.1388 0.3612 0.5000  6 Ru 2.77-2.79, 1 Sc 3.03
3 Ru 0.1551 0.6551 0.0000  6 Sc 2.77-2.79, 2 La 2.92

***

No. 11
## LaScRu (PBEsol)

Data for a geometry-optimized LaScRu structure.

Properties
ΔE_f, eV per atom: -0.228

a = 3.2890 Å, b = 3.2890 Å, c = 12.7533 Å
α = 90.00°, β = 90.00°, γ = 90.00°
With the nearest neighbours (Å) after each atom.
Space group I4mm (No. 107)
One atom of each set of equivalent atoms:
1 La 0.0000 0.0000 0.0000  4 Ru 2.99, 1 Sc 3.28, 4 La 3.29
2 Sc 0.0000 0.0000 0.7427  4 Ru 2.71
3 Ru 0.0000 0.0000 0.3522  4 Sc 2.71, 4 La 2.99

***

No. 12
## LaSc2Ru2 (PBEsol)

Data for a geometry-optimized LaSc2Ru2 structure.

Properties
Offset from the most stable computed form, meV per atom: 45.1
ΔE_f, eV per atom: -0.251

a = 4.2480 Å, b = 4.2480 Å, c = 11.6143 Å
α = 90.00°, β = 90.00°, γ = 90.00°
With the nearest neighbours (Å) after each atom.
Space group I4/mmm (No. 139)
One atom of each set of equivalent atoms:
1 La 0.0000 0.0000 0.0000  8 Ru 3.26, 8 Sc 3.60
2 Sc 0.0000 0.5000 0.2500  4 Ru 2.69, 4 Sc 3.00
3 Ru 0.0000 0.0000 0.3919  1 Ru 2.51, 4 Sc 2.69

***

No. 13
## La2Sc2Ru (PBEsol)

Data for a geometry-optimized La2Sc2Ru structure.

Properties
ΔE_f, eV per atom: 0.733

a = 3.8330 Å, b = 3.8330 Å, c = 16.9843 Å
α = 90.00°, β = 90.00°, γ = 90.00°
With the nearest neighbours (Å) after each atom.
Space group I4/mmm (No. 139)
One atom of each set of equivalent atoms:
1 La 0.0000 0.5000 0.2500  4 La 2.71
2 Sc 0.0000 0.0000 0.0780  1 Sc 2.65
3 Ru 0.0000 0.0000 0.5000  8 Sc 3.02

***

No. 14
## LaRu2Se (PBEsol)

Data for a geometry-optimized LaRu2Se structure.

Properties
Energy relative to the elements, uncorrected, eV/atom: 0.257

a = 6.6208 Å, b = 6.6208 Å, c = 6.6208 Å
α = 90.00°, β = 90.00°, γ = 90.00°
With the nearest neighbours (Å) after each atom.
Space group F-43m (No. 216)
One atom of each set of equivalent atoms:
1 La 0.0000 0.0000 0.0000  4 Ru 2.87, 4 Se 2.87
2 Ru 0.0000 0.0000 0.5000  4 Se 2.87, 4 Ru 2.87
3 Ru 0.2500 0.2500 0.2500  4 Ru 2.87, 4 La 2.87
4 Se 0.2500 0.2500 0.7500  4 La 2.87, 4 Ru 2.87

***

No. 15
## LaRu2Se (PBEsol)

Data for a geometry-optimized LaRu2Se structure.

Properties
Energy relative to the elements, uncorrected, eV/atom: -0.019

a = 3.0976 Å, b = 3.0976 Å, c = 7.4223 Å
α = 90.00°, β = 90.00°, γ = 90.00°
With the nearest neighbours (Å) after each atom.
Space group P4mm (No. 99)
One atom of each set of equivalent atoms:
1 La 0.0000 0.0000 0.0000  4 Ru 3.05, 4 La 3.10, 4 Se 3.18
2 Ru 0.0000 0.0000 0.5070  4 Se 2.63, 4 Ru 2.68
3 Ru 0.5000 0.5000 0.7145  4 Ru 2.68, 1 Se 2.99
4 Se 0.5000 0.5000 0.3110  4 Ru 2.63

***

No. 16
## LaRu2Se (PBEsol)

Data for a geometry-optimized LaRu2Se structure.

Properties
Energy relative to the elements, uncorrected, eV/atom: -0.006

a = 3.5851 Å, b = 3.5851 Å, c = 5.9111 Å
α = 90.00°, β = 90.00°, γ = 90.00°
With the nearest neighbours (Å) after each atom.
Space group P4mm (No. 99)
One atom of each set of equivalent atoms:
1 La 0.0000 0.0000 0.0000  1 Ru 2.56
2 Ru 0.0000 0.0000 0.4327  1 La 2.56, 4 Ru 2.64
3 Ru 0.5000 0.5000 0.3075  1 Se 2.42, 4 Ru 2.64
4 Se 0.5000 0.5000 0.7174  1 Ru 2.42

***

No. 17
## LaSi2Ru2 (PBEsol)

Data for a geometry-optimized LaSi2Ru2 structure.

Properties
Energy relative to the elements, uncorrected, eV/atom: -0.893

a = 4.1947 Å, b = 4.1947 Å, c = 9.8352 Å
α = 90.00°, β = 90.00°, γ = 90.00°
With the nearest neighbours (Å) after each atom.
Space group I4/mmm (No. 139)
One atom of each set of equivalent atoms:
1 La 0.0000 0.0000 0.0000  8 Ru 3.23, 10 Si 3.26-3.57
2 Si 0.0000 0.0000 0.3625  4 Ru 2.37
3 Ru 0.0000 0.5000 0.2500  4 Si 2.37

***

No. 18
## La2SiRu2 (PBEsol)

Data for a geometry-optimized La2SiRu2 structure.

Properties
Energy relative to the elements, uncorrected, eV/atom: 0.001

a = 3.5138 Å, b = 3.5138 Å, c = 17.9807 Å
α = 90.00°, β = 90.00°, γ = 90.00°
With the nearest neighbours (Å) after each atom.
Space group I4/mmm (No. 139)
One atom of each set of equivalent atoms:
1 La 0.0000 0.0000 0.1066  4 Ru 3.12, 4 Si 3.14
2 Si 0.0000 0.0000 0.5000  8 La 3.14, 4 Si 3.51
3 Ru 0.0000 0.5000 0.2500  4 Ru 2.48

***

No. 19
## La3SnRu (PBEsol)

Data for a geometry-optimized La3SnRu structure.

Properties
Offset from the most stable computed form, meV per atom: 59.3
ΔE_f, eV per atom: -0.420

a = 5.3570 Å, b = 5.3570 Å, c = 5.3570 Å
α = 90.00°, β = 90.00°, γ = 90.00°
With the nearest neighbours (Å) after each atom.
Space group Pm-3m (No. 221)
One atom of each set of equivalent atoms:
1 La 0.0000 0.0000 0.5000  2 Ru 2.68
2 Sn 0.5000 0.5000 0.5000  12 La 3.79
3 Ru 0.0000 0.0000 0.0000  6 La 2.68

***

No. 20
## La3SnRu (PBEsol)

Data for a geometry-optimized La3SnRu structure.

Properties
Offset from the most stable computed form, meV per atom: 0.0
ΔE_f, eV per atom: -0.479

a = 8.2231 Å, b = 4.7173 Å, c = 8.4480 Å
α = 90.00°, β = 117.90°, γ = 90.00°
With the nearest neighbours (Å) after each atom.
Space group Pm (No. 6)
One atom of each set of equivalent atoms:
1 La 0.0000 0.0000 0.0000  1 Ru 2.89
2 La 0.0321 0.5000 0.6935  2 Ru 2.79
3 La 0.2511 0.5000 0.4407  2 Ru 3.02, 2 Sn 3.20, 1 La 3.38
4 La 0.4427 0.0000 0.8637  1 Ru 2.43
5 La 0.6150 0.0000 0.4177  1 Ru 2.97
6 La 0.7636 0.5000 0.1656  2 Ru 2.55
7 Sn 0.3411 0.5000 0.1112  9 La 3.20-3.50
8 Sn 0.6730 0.5000 0.7412  9 La 3.16-3.47
9 Ru 0.1455 0.0000 0.5972  1 La 2.43, 1 Ru 2.57
10 Ru 0.8827 0.0000 0.2737  2 La 2.55, 1 Ru 2.57

***

E_tot / eV per atom: -6.49 -6.97 -6.51 -6.29 -6.55 -6.20 -6.69 -6.72 -6.49 -8.08 -7.60 -8.03 -6.08 -7.13 -7.40 -7.39 -8.33 -7.36 -6.51 -6.57
Total magnetic moment / μB per formula unit: 0.0 0.0 0.0 0.0 0.0 0.0 0.0 0.0 0.0 0.0 0.0 0.0 0.0 0.5 0.0 0.0 0.0 0.0 0.0 0.0